# SCAN CsLiSc2H, single point on PBEsol structure
# D(E_F): 3.19 states/eV/f.u.
# V: 23.92 Å³ per atom
# Space group: P4/mmm (123)
# Electronic total energy: -14.04 eV per atom
data_CsLiSc2H
_symmetry_space_group_name_H-M 'P 1'
_symmetry_Int_Tables_number 1
_cell_length_a 4.4570
_cell_length_b 4.4570
_cell_length_c 6.0214
_cell_angle_alpha 90.00
_cell_angle_beta 90.00
_cell_angle_gamma 90.00
loop_
_symmetry_equiv_pos_as_xyz
'x,y,z'
loop_
_atom_site_label
_atom_site_type_symbol
_atom_site_fract_x
_atom_site_fract_y
_atom_site_fract_z
_atom_site_occupancy
Cs1 Cs 0.0000 0.0000 0.0000 1
Li1 Li 0.5000 0.5000 0.0000 1
Sc1 Sc 0.0000 0.5000 0.5000 1
Sc2 Sc 0.5000 0.0000 0.5000 1
H1 H 0.0000 0.0000 0.5000 1